A plane-wave DFT calculation with GGA+U was carried out for FeIrO2 after structural relaxation.

Lattice parameters (Å, degrees): 5.637 5.637 5.637 129.61 129.61 74.04
Element x y z (fractional)
Fe  0.000  0.000  0.000
Fe  0.750  0.250  0.500
Ir  0.250  0.750  0.500
Ir  0.500  0.500  0.000
O  0.088  0.625  0.963
O  0.375  0.338  0.463
O  0.662  0.125  0.037
O  0.875  0.912  0.537

Results
Raw total energy   -6.247 eV/atom
DOS at the Fermi energy   0.802 states/eV/atom
Volume   12.963 A^3/atom
Distance to the lowest polymorph of the same formula   0.240 eV/atom
Total magnetization   4.13 μB/f.u.